(1)
The following is a GGA+U calculation of a relaxed PrZnCo2O6 crystal, from the Alexandria database.

a = 7.8140 Å, b = 5.2876 Å, c = 5.3646 Å
α = 90.00°, β = 90.00°, γ = 90.00°
Element x y z (fractional)
Pr: 0.0000 0.2175 0.0000
Pr: 0.5000 0.7825 0.5000
Zn: 0.0000 0.7220 0.4967
Zn: 0.5000 0.2780 0.9967
Co: 0.2487 0.2558 0.5038
Co: 0.2513 0.7442 0.0038
Co: 0.7487 0.7442 0.0038
Co: 0.7513 0.2558 0.5038
O: 0.0000 0.3262 0.4338
O: 0.0000 0.7803 0.1193
O: 0.1896 0.9554 0.6658
O: 0.2072 0.4758 0.8047
O: 0.2928 0.5242 0.3047
O: 0.3104 0.0446 0.1658
O: 0.5000 0.2197 0.6193
O: 0.5000 0.6738 0.9338
O: 0.6896 0.0446 0.1658
O: 0.7072 0.5242 0.3047
O: 0.7928 0.4758 0.8047
O: 0.8104 0.9554 0.6658

Calculated values
Total DFT energy (no corrections) ... -6.07 eV per atom

(2)
The following is a GGA+U calculation of a relaxed Pr2ZrCoO6 crystal, from the Alexandria database.

a = 5.6333 Å, b = 5.8804 Å, c = 9.8281 Å
α = 90.00°, β = 124.10°, γ = 90.00°
Element x y z (fractional)
Pr: 0.2292 0.0590 0.2478
Pr: 0.2292 0.4410 0.7478
Pr: 0.7708 0.5590 0.2522
Pr: 0.7708 0.9410 0.7522
Zr: 0.5000 0.0000 0.0000
Zr: 0.5000 0.5000 0.5000
Co: 0.0000 0.0000 0.5000
Co: 0.0000 0.5000 0.0000
O: 0.1444 0.1987 0.9449
O: 0.1444 0.3013 0.4449
O: 0.2416 0.7048 0.9389
O: 0.2416 0.7952 0.4389
O: 0.3636 0.0416 0.7521
O: 0.3636 0.4584 0.2521
O: 0.6364 0.5416 0.7479
O: 0.6364 0.9584 0.2479
O: 0.7584 0.2048 0.5611
O: 0.7584 0.2952 0.0611
O: 0.8556 0.6987 0.5551
O: 0.8556 0.8013 0.0551

Calculated values
Total DFT energy (no corrections) ... -8.18 eV per atom

(3)
The following is a GGA+U calculation of a relaxed CoPtO3 crystal, from the Alexandria database.

a = 4.9887 Å, b = 4.9887 Å, c = 5.5464 Å
α = 90.00°, β = 90.00°, γ = 120.00°
Element x y z (fractional)
Co: 0.0000 0.0000 0.0000
Co: 0.0000 0.0000 0.5000
Pt: 0.3333 0.6667 0.0000
Pt: 0.3333 0.6667 0.5000
O: 0.0290 0.3550 0.2500
O: 0.0290 0.6740 0.7500
O: 0.3260 0.3550 0.7500
O: 0.3260 0.9710 0.2500
O: 0.6450 0.6740 0.2500
O: 0.6450 0.9710 0.7500

Calculated values
Total DFT energy (no corrections) ... -5.57 eV per atom

(4)
The following is a GGA+U calculation of a relaxed CoPtO4 crystal, from the Alexandria database.

a = 5.4662 Å, b = 4.4372 Å, c = 5.5058 Å
α = 90.00°, β = 109.70°, γ = 90.00°
Element x y z (fractional)
Co: 0.0000 0.0000 0.0000
Co: 0.0000 0.5000 0.5000
Pt: 0.5000 0.0000 0.5000
Pt: 0.5000 0.5000 0.0000
O: 0.1538 0.2086 0.3503
O: 0.1538 0.2914 0.8503
O: 0.3371 0.7030 0.6622
O: 0.3371 0.7970 0.1622
O: 0.6629 0.2030 0.8378
O: 0.6629 0.2970 0.3378
O: 0.8462 0.7086 0.1497
O: 0.8462 0.7914 0.6497

Calculated values
Total DFT energy (no corrections) ... -5.76 eV per atom

(5)
The following is a GGA+U calculation of a relaxed CoPtO2 crystal, from the Alexandria database.

a = 3.9377 Å, b = 3.9377 Å, c = 3.9377 Å
α = 60.00°, β = 60.00°, γ = 60.00°
Element x y z (fractional)
Co: 0.0000 0.0000 0.0000
Pt: 0.5000 0.5000 0.5000
O: 0.2500 0.2500 0.2500
O: 0.7500 0.7500 0.7500

Calculated values
Total DFT energy (no corrections) ... -5.01 eV per atom

(6)
The following is a GGA+U calculation of a relaxed Co3Pt2O8 crystal, from the Alexandria database.

a = 5.6474 Å, b = 5.6474 Å, c = 5.0946 Å
α = 94.65°, β = 94.65°, γ = 63.79°
Element x y z (fractional)
Co: 0.0000 0.0000 0.0000
Co: 0.2495 0.7505 0.5000
Co: 0.7505 0.2495 0.5000
Pt: 0.2726 0.2726 0.0095
Pt: 0.7274 0.7274 0.9905
O: 0.0857 0.6412 0.8478
O: 0.1029 0.1029 0.7006
O: 0.3588 0.9143 0.1522
O: 0.4084 0.4084 0.3235
O: 0.5916 0.5916 0.6765
O: 0.6412 0.0857 0.8478
O: 0.8971 0.8971 0.2994
O: 0.9143 0.3588 0.1522

Calculated values
Total DFT energy (no corrections) ... -5.81 eV per atom

(7)
The following is a GGA+U calculation of a relaxed Co3PtO crystal, from the Alexandria database.

a = 4.7455 Å, b = 4.7455 Å, c = 4.7455 Å
α = 90.00°, β = 90.00°, γ = 90.00°
Element x y z (fractional)
Co: 0.0000 0.0000 0.5000
Co: 0.0000 0.5000 0.0000
Co: 0.5000 0.0000 0.0000
Pt: 0.0000 0.0000 0.0000
O: 0.5000 0.5000 0.5000

Calculated values
E above lowest polymorph ... 1.324 eV/atom
Total DFT energy (no corrections) ... -3.84 eV per atom

(8)
The following is a GGA+U calculation of a relaxed Co3PtO crystal, from the Alexandria database.

a = 3.9601 Å, b = 3.9601 Å, c = 3.9601 Å
α = 90.00°, β = 90.00°, γ = 90.00°
Element x y z (fractional)
Co: 0.0000 0.0000 0.5000
Co: 0.0000 0.5000 0.0000
Co: 0.5000 0.0000 0.0000
Pt: 0.5000 0.5000 0.5000
O: 0.0000 0.0000 0.0000

Calculated values
E above lowest polymorph ... 0.000 eV/atom
Total DFT energy (no corrections) ... -5.16 eV per atom

(9)
The following is a GGA+U calculation of a relaxed CoPtO2 crystal, from the Alexandria database.

a = 5.4482 Å, b = 5.4482 Å, c = 5.4482 Å
α = 125.35°, β = 125.35°, γ = 80.96°
Element x y z (fractional)
Co: 0.0000 0.0000 0.0000
Co: 0.7500 0.2500 0.5000
Pt: 0.2500 0.7500 0.5000
Pt: 0.5000 0.5000 0.0000
O: 0.0880 0.6250 0.9630
O: 0.3750 0.3380 0.4630
O: 0.6620 0.1250 0.0370
O: 0.8750 0.9120 0.5370

Calculated values
Total DFT energy (no corrections) ... -5.47 eV per atom

(10)
The following is a GGA+U calculation of a relaxed Co2PtO4 crystal, from the Alexandria database.

a = 5.5161 Å, b = 5.5161 Å, c = 5.1754 Å
α = 108.94°, β = 108.94°, γ = 33.88°
Element x y z (fractional)
Co: 0.1749 0.1749 0.1296
Co: 0.8251 0.8251 0.8704
Pt: 0.5000 0.5000 0.5000
O: 0.1073 0.1073 0.4323
O: 0.3654 0.3654 0.1100
O: 0.6346 0.6346 0.8900
O: 0.8927 0.8927 0.5677

Calculated values
Total DFT energy (no corrections) ... -5.93 eV per atom

(11)
The following is a GGA+U calculation of a relaxed CoPtO3 crystal, from the Alexandria database.

a = 3.7600 Å, b = 3.7600 Å, c = 3.7600 Å
α = 90.00°, β = 90.00°, γ = 90.00°
Element x y z (fractional)
Co: 0.0000 0.0000 0.0000
Pt: 0.5000 0.5000 0.5000
O: 0.0000 0.0000 0.5000
O: 0.0000 0.5000 0.0000
O: 0.5000 0.0000 0.0000

Calculated values
Total DFT energy (no corrections) ... -4.92 eV per atom

(12)
The following is a GGA+U calculation of a relaxed CoPt3O crystal, from the Alexandria database.

a = 4.5427 Å, b = 4.5427 Å, c = 4.5427 Å
α = 90.00°, β = 90.00°, γ = 90.00°
Element x y z (fractional)
Co: 0.0000 0.0000 0.0000
Pt: 0.0000 0.0000 0.5000
Pt: 0.0000 0.5000 0.0000
Pt: 0.5000 0.0000 0.0000
O: 0.5000 0.5000 0.5000

Calculated values
Total DFT energy (no corrections) ... -3.97 eV per atom

(13)
The following is a GGA+U calculation of a relaxed CoPtO2 crystal, from the Alexandria database.

a = 5.6344 Å, b = 5.6344 Å, c = 5.6344 Å
α = 35.71°, β = 35.71°, γ = 35.71°
Element x y z (fractional)
Co: 0.0000 0.0000 0.0000
Pt: 0.5000 0.5000 0.5000
O: 0.1165 0.1165 0.1165
O: 0.8835 0.8835 0.8835

Calculated values
Total DFT energy (no corrections) ... -5.41 eV per atom

(14)
The following is a GGA+U calculation of a relaxed PuCo2PtO8 crystal, from the Alexandria database.

a = 5.7954 Å, b = 5.7954 Å, c = 5.7954 Å
α = 111.42°, β = 111.42°, γ = 105.63°
Element x y z (fractional)
Pu: 0.0000 0.0000 0.0000
Co: 0.5000 0.5000 0.0000
Co: 0.7500 0.2500 0.5000
Pt: 0.2500 0.7500 0.5000
O: 0.2859 0.0874 0.8015
O: 0.2859 0.4844 0.1985
O: 0.3664 0.0662 0.3002
O: 0.5156 0.7141 0.8015
O: 0.7660 0.0662 0.6998
O: 0.9126 0.7141 0.1985
O: 0.9338 0.2340 0.3002
O: 0.9338 0.6336 0.6998

Calculated values
Total DFT energy (no corrections) ... -6.85 eV per atom

(15)
The following is a GGA+U calculation of a relaxed Co2PtRhO6 crystal, from the Alexandria database.

a = 5.4643 Å, b = 5.4643 Å, c = 5.4643 Å
α = 55.88°, β = 55.88°, γ = 55.88°
Element x y z (fractional)
Co: 0.0000 0.0000 0.0000
Co: 0.4867 0.4867 0.4867
Pt: 0.6893 0.6893 0.6893
Rh: 0.1953 0.1953 0.1953
O: 0.0946 0.3809 0.7953
O: 0.2737 0.9009 0.6140
O: 0.3809 0.7953 0.0946
O: 0.6140 0.2737 0.9009
O: 0.7953 0.0946 0.3809
O: 0.9009 0.6140 0.2737

Calculated values
Total DFT energy (no corrections) ... -6.08 eV per atom

(16)
The following is a GGA+U calculation of a relaxed CoRu2PtO crystal, from the Alexandria database.

a = 4.8476 Å, b = 4.8476 Å, c = 4.6969 Å
α = 90.00°, β = 90.00°, γ = 90.00°
Element x y z (fractional)
Co: 0.0000 0.0000 0.0000
Ru: 0.0000 0.5000 0.5000
Ru: 0.5000 0.0000 0.5000
Pt: 0.0000 0.0000 0.5000
O: 0.5000 0.5000 0.0000

Calculated values
Total DFT energy (no corrections) ... -4.89 eV per atom

(17)
The following is a GGA+U calculation of a relaxed CoRuPtO6 crystal, from the Alexandria database.

a = 5.1223 Å, b = 5.1223 Å, c = 8.7764 Å
α = 90.00°, β = 90.00°, γ = 120.00°
Element x y z (fractional)
Co: 0.0000 0.0000 0.0000
Co: 0.0000 0.0000 0.5000
Ru: 0.3333 0.6667 0.2500
Ru: 0.6667 0.3333 0.7500
Pt: 0.3333 0.6667 0.7500
Pt: 0.6667 0.3333 0.2500
O: 0.0086 0.3527 0.1270
O: 0.0086 0.6559 0.3730
O: 0.3441 0.3527 0.3730
O: 0.3441 0.9914 0.1270
O: 0.3527 0.0086 0.6270
O: 0.3527 0.3441 0.8730
O: 0.6473 0.6559 0.1270
O: 0.6473 0.9914 0.3730
O: 0.6559 0.0086 0.8730
O: 0.6559 0.6473 0.6270
O: 0.9914 0.3441 0.6270
O: 0.9914 0.6473 0.8730

Calculated values
Total DFT energy (no corrections) ... -6.26 eV per atom

(18)
The following is a GGA+U calculation of a relaxed CoSbPtO6 crystal, from the Alexandria database.

a = 5.2376 Å, b = 5.2376 Å, c = 8.7650 Å
α = 90.00°, β = 90.00°, γ = 120.00°
Element x y z (fractional)
Co: 0.0000 0.0000 0.0000
Co: 0.0000 0.0000 0.5000
Sb: 0.3333 0.6667 0.2500
Sb: 0.6667 0.3333 0.7500
Pt: 0.3333 0.6667 0.7500
Pt: 0.6667 0.3333 0.2500
O: 0.0015 0.3461 0.6285
O: 0.0015 0.6554 0.8715
O: 0.3446 0.3461 0.8715
O: 0.3446 0.9985 0.6285
O: 0.3461 0.0015 0.1285
O: 0.3461 0.3446 0.3715
O: 0.6539 0.6554 0.6285
O: 0.6539 0.9985 0.8715
O: 0.6554 0.0015 0.3715
O: 0.6554 0.6539 0.1285
O: 0.9985 0.3446 0.1285
O: 0.9985 0.6539 0.3715

Calculated values
Total DFT energy (no corrections) ... -5.91 eV per atom

(19)
The following is a GGA+U calculation of a relaxed CoSnPtO6 crystal, from the Alexandria database.

a = 4.6479 Å, b = 4.6479 Å, c = 9.5306 Å
α = 90.00°, β = 90.00°, γ = 90.00°
Element x y z (fractional)
Co: 0.0000 0.0000 0.0000
Co: 0.5000 0.5000 0.5000
Sn: 0.0000 0.0000 0.6676
Sn: 0.5000 0.5000 0.1676
Pt: 0.0000 0.0000 0.3338
Pt: 0.5000 0.5000 0.8338
O: 0.1853 0.1853 0.1664
O: 0.1980 0.1980 0.4947
O: 0.1986 0.1986 0.8378
O: 0.3014 0.6986 0.3378
O: 0.3020 0.6980 0.9947
O: 0.3147 0.6853 0.6664
O: 0.6853 0.3147 0.6664
O: 0.6980 0.3020 0.9947
O: 0.6986 0.3014 0.3378
O: 0.8014 0.8014 0.8378
O: 0.8020 0.8020 0.4947
O: 0.8147 0.8147 0.1664

Calculated values
Total DFT energy (no corrections) ... -5.90 eV per atom

(20)
The following is a GGA+U calculation of a relaxed SrCo2PtO crystal, from the Alexandria database.

a = 4.1075 Å, b = 4.1075 Å, c = 4.9056 Å
α = 90.00°, β = 90.00°, γ = 90.00°
Element x y z (fractional)
Sr: 0.0000 0.0000 0.0000
Co: 0.0000 0.5000 0.5000
Co: 0.5000 0.0000 0.5000
Pt: 0.5000 0.5000 0.0000
O: 0.0000 0.0000 0.5000

Calculated values
Total DFT energy (no corrections) ... -4.94 eV per atom